[1]
## LaPdPb (GGA-PBE)

Data for LaPdPb after structural relaxation.

abc: 4.2325 7.8856 7.8856
angles: 120.00 90.00 90.00
Element x y z (fractional)
Pb 0.0000 0.7463 0.7463
Pb 0.0000 0.2537 0.0000
Pb 0.0000 0.0000 0.2537
La 0.5000 0.4117 0.4117
La 0.5000 0.0000 0.5883
La 0.5000 0.5883 0.0000
Pd 0.0000 0.3333 0.6667
Pd 0.5000 0.0000 0.0000
Pd 0.0000 0.6667 0.3333

Results
E in eV/atom: -5.3800
Symmetry: P-62m

[2]
## K2TaOsAu (GGA-PBE)

Data for K2TaOsAu after structural relaxation.

abc: 6.3376 4.6865 6.3376
angles: 90.00 90.00 90.00
Element x y z (fractional)
K 0.0000 0.0000 0.5000
K 0.5000 0.0000 0.0000
Au 0.5000 0.5000 0.5000
Ta 0.0000 0.5000 0.0000
Os 0.0000 0.0000 0.0000

Results
E in eV/atom: -4.4302
Symmetry: P4/mmm

[3]
## ZrAgSeO5 (GGA-PBE)

Data for ZrAgSeO5 after structural relaxation.

abc: 5.7813 5.7813 8.2464
angles: 109.95 109.95 93.97
Element x y z (fractional)
O 0.0221 0.9779 0.2500
O 0.9779 0.0221 0.7500
O 0.2242 0.7203 0.9637
O 0.7758 0.2797 0.0363
O 0.2797 0.7758 0.5363
O 0.3518 0.2821 0.1480
O 0.7203 0.2242 0.4637
O 0.2821 0.3518 0.6480
O 0.7179 0.6482 0.3520
O 0.6482 0.7179 0.8520
Ag 0.2879 0.7121 0.2500
Ag 0.7121 0.2879 0.7500
Zr 0.0000 0.0000 0.0000
Zr 0.0000 0.0000 0.5000
Se 0.3244 0.6756 0.7500
Se 0.6756 0.3244 0.2500

Results
Uncorrected formation energy in eV/f.u.: -11.3
E in eV/atom: -6.3727
Symmetry: C2/c